[1]
Entry from Alexandria via LeMat-Bulk: LaPPt2 after structural relaxation (GGA-PBE).

Cell: 5.2390 5.2390 5.2390 Å, 131.78 131.78 70.58°
Closest atoms and distances in Å follow each position.
Sites, in units of the cell vectors:
La (0.5000, 0.5000, 0.0000)  4 P 3.03, 8 Pt 3.03
P (0.7500, 0.2500, 0.5000)  8 Pt 3.03, 4 La 3.03
Pt (0.0000, 0.0000, 0.0000)  4 Pt 3.03, 4 P 3.03, 4 La 3.03
Pt (0.2500, 0.7500, 0.5000)  4 La 3.03, 4 Pt 3.03, 4 P 3.03

Calculated values
E_form: -0.53 eV/atom



[2]
Entry from Alexandria via LeMat-Bulk: YMnTc2 after structural relaxation (GGA-PBE).

Cell: 4.2366 2.9858 5.8019 Å, 75.13 90.00 90.00°
Closest atoms and distances in Å follow each position.
Sites, in units of the cell vectors:
Mn (0.5000, 0.7837, 0.7946)  3 Tc 2.47-2.64
Tc (0.0000, 0.0062, 0.0145)  2 Tc 2.51, 2 Mn 2.64
Tc (0.5000, 0.2254, 0.1915)  1 Mn 2.47, 2 Tc 2.51
Y (0.0000, 0.4847, 0.4994)  4 Tc 2.84-3.00, 2 Y 2.99, 4 Mn 3.00-3.16

Calculated values
E_form: 0.26 eV/atom
distance to the lowest polymorph of the same formula: 0.103 eV per atom